The following is a DFT calculation (PBE) of crystalline Nb3TcPd at its relaxed geometry.

Structure (CIF):
```
data_Nb3TcPd
_space_group_name_H-M_alt 'P 1'
_space_group_IT_number 1
_cell_length_a 4.7821
_cell_length_b 4.7821
_cell_length_c 4.7821
_cell_angle_alpha 90.00
_cell_angle_beta 90.00
_cell_angle_gamma 90.00
loop_
_space_group_symop_operation_xyz
'x,y,z'
loop_
_atom_site_label
_atom_site_type_symbol
_atom_site_fract_x
_atom_site_fract_y
_atom_site_fract_z
Nb1 Nb 0.0000 0.0000 0.5000
Nb2 Nb 0.0000 0.5000 0.0000
Nb3 Nb 0.5000 0.0000 0.0000
Tc1 Tc 0.5000 0.5000 0.5000
Pd1 Pd 0.0000 0.0000 0.0000
```

Results
Energy relative to the elements: 1606.8 meV per atom
Uncorrected energy: -7.5468 eV per atom
Offset from the most stable computed form: 0.5651 eV per atom


The following is a DFT calculation (PBE) of crystalline NbTcPd2 at its relaxed geometry.

Structure (CIF):
```
data_NbTcPd2
_space_group_name_H-M_alt 'P 1'
_space_group_IT_number 1
_cell_length_a 4.8228
_cell_length_b 4.8983
_cell_length_c 5.6934
_cell_angle_alpha 106.67
_cell_angle_beta 90.97
_cell_angle_gamma 100.88
loop_
_space_group_symop_operation_xyz
'x,y,z'
loop_
_atom_site_label
_atom_site_type_symbol
_atom_site_fract_x
_atom_site_fract_y
_atom_site_fract_z
Nb1 Nb 0.1517 0.2733 0.2105
Nb2 Nb 0.8483 0.7267 0.7895
Tc1 Tc 0.3822 0.7653 0.5496
Tc2 Tc 0.6178 0.2347 0.4504
Pd1 Pd 0.1261 0.2475 0.6936
Pd2 Pd 0.3646 0.7523 0.0541
Pd3 Pd 0.6354 0.2477 0.9459
Pd4 Pd 0.8739 0.7525 0.3064
```

Results
Energy relative to the elements: -163.6 meV per atom
Uncorrected energy: -7.8689 eV per atom
Offset from the most stable computed form: 0.0853 eV per atom


The following is a DFT calculation (PBE) of crystalline NbTcPd2 at its relaxed geometry.

Structure (CIF):
```
data_NbTcPd2
_space_group_name_H-M_alt 'P 1'
_space_group_IT_number 1
_cell_length_a 5.4041
_cell_length_b 5.4123
_cell_length_c 5.5806
_cell_angle_alpha 103.63
_cell_angle_beta 106.21
_cell_angle_gamma 117.41
loop_
_space_group_symop_operation_xyz
'x,y,z'
loop_
_atom_site_label
_atom_site_type_symbol
_atom_site_fract_x
_atom_site_fract_y
_atom_site_fract_z
Nb1 Nb 0.0000 0.0000 0.0000
Nb2 Nb 0.1017 0.5377 0.6505
Tc1 Tc 0.5101 0.4879 0.9913
Tc2 Tc 0.5318 0.5003 0.5290
Pd1 Pd 0.0926 0.5673 0.1595
Pd2 Pd 0.5744 0.0644 0.1564
Pd3 Pd 0.5828 0.0659 0.6630
Pd4 Pd 0.9963 0.9733 0.4877
```

Results
Energy relative to the elements: -163.9 meV per atom
Uncorrected energy: -7.8693 eV per atom
Offset from the most stable computed form: 0.0850 eV per atom


The following is a DFT calculation (PBE) of crystalline NbTc2Pd at its relaxed geometry.

Structure (CIF):
```
data_NbTc2Pd
_space_group_name_H-M_alt 'P 1'
_space_group_IT_number 1
_cell_length_a 4.4641
_cell_length_b 4.4641
_cell_length_c 4.4641
_cell_angle_alpha 60.00
_cell_angle_beta 60.00
_cell_angle_gamma 60.00
loop_
_space_group_symop_operation_xyz
'x,y,z'
loop_
_atom_site_label
_atom_site_type_symbol
_atom_site_fract_x
_atom_site_fract_y
_atom_site_fract_z
Nb1 Nb 0.0000 0.0000 0.0000
Tc1 Tc 0.2500 0.2500 0.2500
Tc2 Tc 0.7500 0.7500 0.7500
Pd1 Pd 0.5000 0.5000 0.5000
```

Results
Energy relative to the elements: 146.3 meV per atom
Uncorrected energy: -8.8524 eV per atom
Offset from the most stable computed form: 0.2596 eV per atom


The following is a DFT calculation (PBE) of crystalline NbTcPd2 at its relaxed geometry.

Structure (CIF):
```
data_NbTcPd2
_space_group_name_H-M_alt 'P 1'
_space_group_IT_number 1
_cell_length_a 5.6169
_cell_length_b 3.9147
_cell_length_c 5.6674
_cell_angle_alpha 90.00
_cell_angle_beta 90.00
_cell_angle_gamma 90.00
loop_
_space_group_symop_operation_xyz
'x,y,z'
loop_
_atom_site_label
_atom_site_type_symbol
_atom_site_fract_x
_atom_site_fract_y
_atom_site_fract_z
Nb1 Nb 0.2500 0.0000 0.2294
Nb2 Nb 0.7500 0.0000 0.7706
Tc1 Tc 0.0000 0.5000 0.0000
Tc2 Tc 0.5000 0.5000 0.0000
Pd1 Pd 0.0000 0.5000 0.5000
Pd2 Pd 0.2500 0.0000 0.7463
Pd3 Pd 0.5000 0.5000 0.5000
Pd4 Pd 0.7500 0.0000 0.2537
```

Results
Energy relative to the elements: -248.9 meV per atom
Uncorrected energy: -7.9543 eV per atom
Offset from the most stable computed form: 0.0000 eV per atom


The following is a DFT calculation (PBE) of crystalline NbTc2Pd at its relaxed geometry.

Structure (CIF):
```
data_NbTc2Pd
_space_group_name_H-M_alt 'P 1'
_space_group_IT_number 1
_cell_length_a 9.8154
_cell_length_b 9.8154
_cell_length_c 9.8154
_cell_angle_alpha 157.76
_cell_angle_beta 157.76
_cell_angle_gamma 31.65
loop_
_space_group_symop_operation_xyz
'x,y,z'
loop_
_atom_site_label
_atom_site_type_symbol
_atom_site_fract_x
_atom_site_fract_y
_atom_site_fract_z
Nb1 Nb 0.0000 0.0000 0.0000
Nb2 Nb 0.7500 0.2500 0.5000
Tc1 Tc 0.1543 0.6250 0.0293
Tc2 Tc 0.3750 0.4043 0.5293
Tc3 Tc 0.5957 0.1250 0.9707
Tc4 Tc 0.8750 0.8457 0.4707
Pd1 Pd 0.2500 0.7500 0.5000
Pd2 Pd 0.5000 0.5000 0.0000
```

Results
Energy relative to the elements: 499.1 meV per atom
Uncorrected energy: -8.4996 eV per atom
Offset from the most stable computed form: 0.6124 eV per atom


The following is a DFT calculation (PBE) of crystalline TiNbTcPd at its relaxed geometry.

Structure (CIF):
```
data_TiNbTcPd
_space_group_name_H-M_alt 'P 1'
_space_group_IT_number 1
_cell_length_a 4.4955
_cell_length_b 4.4955
_cell_length_c 4.4955
_cell_angle_alpha 60.00
_cell_angle_beta 60.00
_cell_angle_gamma 60.00
loop_
_space_group_symop_operation_xyz
'x,y,z'
loop_
_atom_site_label
_atom_site_type_symbol
_atom_site_fract_x
_atom_site_fract_y
_atom_site_fract_z
Ti1 Ti 0.0000 0.0000 0.0000
Nb1 Nb 0.5000 0.5000 0.5000
Tc1 Tc 0.2500 0.2500 0.2500
Pd1 Pd 0.7500 0.7500 0.7500
```

Results
Energy relative to the elements: -327.0 meV per atom
Uncorrected energy: -8.7078 eV per atom


The following is a DFT calculation (PBE) of crystalline NbTe2Pd at its relaxed geometry.

Structure (CIF):
```
data_NbTe2Pd
_space_group_name_H-M_alt 'P 1'
_space_group_IT_number 1
_cell_length_a 7.5035
_cell_length_b 7.5035
_cell_length_c 7.5035
_cell_angle_alpha 29.75
_cell_angle_beta 29.75
_cell_angle_gamma 29.75
loop_
_space_group_symop_operation_xyz
'x,y,z'
loop_
_atom_site_label
_atom_site_type_symbol
_atom_site_fract_x
_atom_site_fract_y
_atom_site_fract_z
Nb1 Nb 0.0000 0.0000 0.0000
Te1 Te 0.2556 0.2556 0.2556
Te2 Te 0.4193 0.4193 0.4193
Pd1 Pd 0.8532 0.8532 0.8532
```

Results
Formation energy without anion corrections: -0.244 eV per atom
Uncorrected energy: -5.6303 eV per atom
Offset from the most stable computed form: 0.2027 eV per atom


The following is a DFT calculation (PBE) of crystalline NbTe6Pd at its relaxed geometry.

Structure (CIF):
```
data_NbTe6Pd
_space_group_name_H-M_alt 'P 1'
_space_group_IT_number 1
_cell_length_a 6.5855
_cell_length_b 6.8043
_cell_length_c 6.8307
_cell_angle_alpha 87.59
_cell_angle_beta 61.88
_cell_angle_gamma 61.68
loop_
_space_group_symop_operation_xyz
'x,y,z'
loop_
_atom_site_label
_atom_site_type_symbol
_atom_site_fract_x
_atom_site_fract_y
_atom_site_fract_z
Nb1 Nb 0.0000 0.0000 0.0000
Te1 Te 0.1298 0.3075 0.0827
Te2 Te 0.1811 0.7837 0.2775
Te3 Te 0.4881 0.7995 0.5853
Te4 Te 0.5119 0.2005 0.4147
Te5 Te 0.8189 0.2163 0.7225
Te6 Te 0.8702 0.6925 0.9173
Pd1 Pd 0.0000 0.5000 0.5000
```

Results
Formation energy without anion corrections: -0.148 eV per atom
Uncorrected energy: -4.4118 eV per atom


The following is a DFT calculation (PBE) of crystalline NbTe2Pd at its relaxed geometry.

Structure (CIF):
```
data_NbTe2Pd
_space_group_name_H-M_alt 'P 1'
_space_group_IT_number 1
_cell_length_a 8.6461
_cell_length_b 6.4181
_cell_length_c 8.4523
_cell_angle_alpha 90.00
_cell_angle_beta 118.17
_cell_angle_gamma 90.00
loop_
_space_group_symop_operation_xyz
'x,y,z'
loop_
_atom_site_label
_atom_site_type_symbol
_atom_site_fract_x
_atom_site_fract_y
_atom_site_fract_z
Nb1 Nb 0.0216 0.0205 0.3079
Nb2 Nb 0.0216 0.4795 0.8079
Nb3 Nb 0.9784 0.5205 0.1921
Nb4 Nb 0.9784 0.9795 0.6921
Te1 Te 0.2172 0.2291 0.6386
Te2 Te 0.2172 0.2709 0.1386
Te3 Te 0.3178 0.7369 0.9051
Te4 Te 0.3178 0.7631 0.4051
Te5 Te 0.6822 0.2369 0.5949
Te6 Te 0.6822 0.2631 0.0949
Te7 Te 0.7828 0.7291 0.8614
Te8 Te 0.7828 0.7709 0.3614
Pd1 Pd 0.1269 0.6450 0.5581
Pd2 Pd 0.1269 0.8550 0.0581
Pd3 Pd 0.8731 0.1450 0.9419
Pd4 Pd 0.8731 0.3550 0.4419
```

Results
Formation energy without anion corrections: -0.447 eV per atom
Uncorrected energy: -5.8330 eV per atom
Offset from the most stable computed form: 0.0000 eV per atom


The following is a DFT calculation (PBE) of crystalline NbTe2Pd at its relaxed geometry.

Structure (CIF):
```
data_NbTe2Pd
_space_group_name_H-M_alt 'P 1'
_space_group_IT_number 1
_cell_length_a 7.5177
_cell_length_b 7.5177
_cell_length_c 7.5177
_cell_angle_alpha 130.70
_cell_angle_beta 130.70
_cell_angle_gamma 72.30
loop_
_space_group_symop_operation_xyz
'x,y,z'
loop_
_atom_site_label
_atom_site_type_symbol
_atom_site_fract_x
_atom_site_fract_y
_atom_site_fract_z
Nb1 Nb 0.0000 0.0000 0.0000
Nb2 Nb 0.7500 0.2500 0.5000
Te1 Te 0.1305 0.6250 0.0055
Te2 Te 0.3750 0.3805 0.5055
Te3 Te 0.6195 0.1250 0.9945
Te4 Te 0.8750 0.8695 0.4945
Pd1 Pd 0.2500 0.7500 0.5000
Pd2 Pd 0.5000 0.5000 0.0000
```

Results
Formation energy without anion corrections: 0.005 eV per atom
Uncorrected energy: -5.3815 eV per atom
Offset from the most stable computed form: 0.4515 eV per atom


The following is a DFT calculation (PBE) of crystalline NbTePd3 at its relaxed geometry.

Structure (CIF):
```
data_NbTePd3
_space_group_name_H-M_alt 'P 1'
_space_group_IT_number 1
_cell_length_a 4.8869
_cell_length_b 4.8869
_cell_length_c 4.8869
_cell_angle_alpha 90.00
_cell_angle_beta 90.00
_cell_angle_gamma 90.00
loop_
_space_group_symop_operation_xyz
'x,y,z'
loop_
_atom_site_label
_atom_site_type_symbol
_atom_site_fract_x
_atom_site_fract_y
_atom_site_fract_z
Nb1 Nb 0.0000 0.0000 0.0000
Te1 Te 0.5000 0.5000 0.5000
Pd1 Pd 0.0000 0.5000 0.5000
Pd2 Pd 0.5000 0.0000 0.5000
Pd3 Pd 0.5000 0.5000 0.0000
```

Results
Formation energy without anion corrections: 0.732 eV per atom
Uncorrected energy: -5.0263 eV per atom
Offset from the most stable computed form: 0.0000 eV per atom